Pr3DyEr12 | PBE-GGA | relaxed

Computed properties:
Formation enthalpy at 0 K, eV per atom: 0.0260

Cell lengths 5.016, 5.016, 20.075 Å; angles 90.00, 90.00, 90.00 degrees
Fractional positions:
Er  0.500  0.000  0.877
Er  0.500  0.500  0.248
Er  0.500  0.000  0.374
Er  0.000  0.500  0.626
Er  0.000  0.500  0.877
Er  0.500  0.500  0.752
Er  0.500  0.500  0.500
Er  0.000  0.500  0.123
Er  0.500  0.000  0.626
Er  0.500  0.500  0.000
Er  0.000  0.500  0.374
Er  0.500  0.000  0.123
Pr  0.000  0.000  0.249
Pr  0.000  0.000  0.500
Pr  0.000  0.000  0.751
Dy  0.000  0.000  0.000

---

KBa3 | PBE-GGA | relaxed

Computed properties:
Formation enthalpy at 0 K, eV per atom: 0.0756

Cell lengths 5.098, 5.098, 10.155 Å; angles 90.00, 90.00, 90.00 degrees
Fractional positions:
Ba  0.000  0.000  0.491
Ba  0.500  0.500  0.250
Ba  0.000  0.000  0.009
K  0.500  0.500  0.750

---

LaHoTl2S4 | PBE-GGA | relaxed

Computed properties:
ΔE_f (raw), eV/atom: -1.499

Cell lengths 4.147, 7.192, 7.854 Å; angles 107.69, 90.00, 90.00 degrees
Fractional positions:
S  0.500  0.221  0.198
S  0.500  0.779  0.802
S  0.000  0.747  0.203
S  0.000  0.253  0.797
Ho  0.000  0.000  0.000
La  0.500  0.500  0.000
Tl  0.000  0.500  0.500
Tl  0.500  0.000  0.500

---

RbYSI2 | PBE-GGA | relaxed

Computed properties:
ΔE_f (raw), eV/atom: -1.467

Cell lengths 6.235, 6.235, 5.173 Å; angles 90.00, 90.00, 90.00 degrees
Fractional positions:
I  0.500  0.000  0.000
I  0.000  0.500  0.000
Rb  0.500  0.500  0.500
S  0.000  0.000  0.500
Y  0.000  0.000  0.000

---

LiLaP2 | PBE-GGA | relaxed

Computed properties:
Formation enthalpy at 0 K, eV per atom: -0.0655

Cell lengths 9.191, 9.191, 9.191 Å; angles 21.09, 21.09, 21.09 degrees
Fractional positions:
La  0.512  0.512  0.512
P  0.987  0.987  0.987
P  0.274  0.274  0.274
Li  0.727  0.727  0.727

---

La6Pr4Er | PBE-GGA | relaxed

Computed properties:
Formation enthalpy at 0 K, eV per atom: 0.0919

Cell lengths 6.066, 5.821, 26.371 Å; angles 90.00, 90.00, 121.40 degrees
Fractional positions:
La  0.207  0.413  0.605
La  0.500  0.000  0.500
La  0.116  0.231  0.315
La  0.884  0.769  0.815
La  0.793  0.587  0.395
La  0.884  0.769  0.685
La  0.500  0.000  0.000
La  0.559  0.118  0.750
La  0.793  0.587  0.105
La  0.116  0.231  0.185
La  0.441  0.882  0.250
La  0.207  0.413  0.895
Pr  0.852  0.705  0.545
Pr  0.444  0.889  0.125
Pr  0.556  0.111  0.875
Pr  0.556  0.111  0.625
Pr  0.852  0.705  0.955
Pr  0.148  0.295  0.455
Pr  0.444  0.889  0.375
Pr  0.148  0.295  0.045
Er  0.782  0.564  0.250
Er  0.218  0.436  0.750

---

MnNi6Rh2 | PBE-GGA | relaxed

Computed properties:
Formation enthalpy at 0 K, eV per atom: -0.0141

Cell lengths 3.592, 5.754, 5.774 Å; angles 107.68, 108.12, 90.00 degrees
Fractional positions:
Ni  0.276  0.168  0.552
Ni  0.616  0.176  0.232
Ni  0.724  0.832  0.448
Ni  0.384  0.824  0.768
Ni  0.830  0.501  0.660
Ni  0.170  0.499  0.340
Rh  0.943  0.168  0.886
Rh  0.057  0.832  0.114
Mn  0.500  0.500  0.000

---

YErCdHg | PBE-GGA | relaxed

Computed properties:
Formation enthalpy at 0 K, eV per atom: -0.4108

Cell lengths 5.259, 5.259, 5.259 Å; angles 60.00, 60.00, 60.00 degrees
Fractional positions:
Cd  0.750  0.750  0.750
Er  0.500  0.500  0.500
Hg  0.250  0.250  0.250
Y  0.000  0.000  0.000